Record 1
VASP calculation (PBEsol) on a geometry-optimized NaSr3Be3B3O9F4 structure.

Results
ΔE_f (raw)   -2.950 eV per atom

Lattice parameters (Å, degrees): 10.4898 10.4898 8.3615 90.00 90.00 120.00
With the nearest neighbours (Å) after each atom.
Space group R3m (No. 160, hexagonal axes)
Symmetry-distinct sites (fractional):
Na 0.0000 0.0000 0.0000 [3 per cell]  4 F 2.22-2.32
Sr 0.2025 0.4051 0.9982 [9 per cell]  3 F 2.43-2.52, 4 O 2.62-2.66
Be 0.0914 0.1828 0.6965 [9 per cell]  3 O 1.58-1.59, 1 F 1.67
B 0.1772 0.3544 0.4724 [9 per cell]  3 O 1.38-1.39
O 0.0966 0.4244 0.4555 [18 per cell]  1 B 1.38
O 0.1025 0.2051 0.5088 [9 per cell]  1 B 1.39
F 0.0000 0.0000 0.7220 [3 per cell]  3 Be 1.67
F 0.0942 0.1885 0.1689 [9 per cell]  1 Na 2.22, 1 Sr 2.43


Record 2
VASP calculation (PBEsol) on a geometry-optimized Li3MnCr2O6 structure.

Results
ΔE_f (raw)   -1.946 eV per atom

Lattice parameters (Å, degrees): 13.0118 2.8849 5.7644 90.00 102.41 90.00
With the nearest neighbours (Å) after each atom.
Space group C2/m (No. 12)
Symmetry-distinct sites (fractional):
Li 0.0000 0.0000 0.0000 [2 per cell]  6 O 2.12-2.21
Li 0.1730 0.5000 0.3414 [4 per cell]  5 O 2.01-2.13
Mn 0.0000 0.0000 0.5000 [2 per cell]  6 O 1.97-2.15
Cr 0.1692 0.5000 0.8319 [4 per cell]  6 O 1.97-2.00
O 0.0119 0.5000 0.7381 [4 per cell]  2 Mn 1.97, 1 Cr 2.00, 2 Li 2.12
O 0.1689 0.0000 0.5996 [4 per cell]  2 Cr 1.97, 3 Li 2.01-2.08, 1 Mn 2.15
O 0.1740 0.0000 0.0707 [4 per cell]  3 Cr 1.99-2.00, 3 Li 2.13-2.21


Record 3
VASP calculation (PBEsol) on a geometry-optimized KLa2Re structure.

Results
Energy above the lowest structure with this stoichiometry   0.00 kcal/mol of atoms

Lattice parameters (Å, degrees): 4.6004 5.9581 7.8593 90.00 90.00 90.00
With the nearest neighbours (Å) after each atom.
Space group Immm (No. 71)
Symmetry-distinct sites (fractional):
K 0.0000 0.0000 0.0000 [2 per cell]  8 La 3.21-3.43
La 0.0000 0.5000 0.2156 [4 per cell]  2 Re 2.86
Re 0.0000 0.0000 0.5000 [2 per cell]  4 La 2.86


Record 4
VASP calculation (PBEsol) on a geometry-optimized LiFePO4 structure.

Results
ΔE_f (raw)   -1.894 eV per atom
Energy above the lowest structure with this stoichiometry   0.39 kcal/mol of atoms

Lattice parameters (Å, degrees): 10.2270 5.9187 4.7685 90.00 90.00 90.00
With the nearest neighbours (Å) after each atom.
Space group Pnma (No. 62)
Symmetry-distinct sites (fractional):
Li 0.2162 0.2500 0.0198 [4 per cell]  4 O 2.01-2.23
Fe 0.0000 0.0000 0.5000 [4 per cell]  6 O 2.12-2.15
P 0.0956 0.7500 0.0823 [4 per cell]  4 O 1.55-1.58
O 0.0491 0.2500 0.7990 [4 per cell]  1 P 1.58
O 0.0953 0.7500 0.7570 [4 per cell]  1 P 1.55
O 0.1586 0.5370 0.2134 [8 per cell]  1 P 1.55


Record 5
VASP calculation (PBEsol) on a geometry-optimized LaNiBr2 structure.

Results
ΔE_f (raw)   -0.559 eV per atom

Lattice parameters (Å, degrees): 4.0243 4.0243 18.8409 90.00 90.00 120.00
With the nearest neighbours (Å) after each atom.
Space group R-3m (No. 166, hexagonal axes)
Symmetry-distinct sites (fractional):
La 0.0000 0.0000 0.0000 [3 per cell]  6 Br 3.04
Ni 0.0000 0.0000 0.5000 [3 per cell]  6 Br 2.61
Br 0.0000 0.0000 0.2292 [6 per cell]  3 Ni 2.61


Record 6
VASP calculation (PBEsol) on a geometry-optimized MoIr2Br structure.

Results
ΔE_f (raw)   0.342 eV per atom

Lattice parameters (Å, degrees): 2.7737 2.7737 29.6526 90.00 90.00 120.00
With the nearest neighbours (Å) after each atom.
Space group R-3m (No. 166, hexagonal axes)
Symmetry-distinct sites (fractional):
Mo 0.0000 0.0000 0.0000 [3 per cell]  6 Ir 2.66, 6 Mo 2.77
Ir 0.0000 0.0000 0.2619 [6 per cell]  3 Mo 2.66, 6 Ir 2.77
Br 0.0000 0.0000 0.5000 [3 per cell]  6 Br 2.77